# Mo4PtPb | Alexandria | PBE | relaxed
data_Mo4PtPb
_cell_length_a 7.512
_cell_length_b 7.512
_cell_length_c 7.512
_cell_angle_alpha 90.00
_cell_angle_beta 90.00
_cell_angle_gamma 90.00
_symmetry_space_group_name_H-M 'F -4 3 m'
_symmetry_Int_Tables_number 216
_symmetry_space_group_name_Hall 'F -4 2 3'
loop_
_atom_site_label
_atom_site_type_symbol
_atom_site_fract_x
_atom_site_fract_y
_atom_site_fract_z
Mo1 Mo 0.124 0.124 0.376
Pt1 Pt 0.250 0.250 0.750
Pb1 Pb 0.000 0.000 0.000
# magnetic moment: 0.00 μB/cell
# energy of formation from the pure elements: 2.95 eV per formula unit
# uncorrected energy: -200.5 eV per cell